Computed, not measured: an optimized crystal structure of Sr7Sb3O2 at the PBE level of DFT.

As for the density of states at the Fermi level: 4.46 states/eV/f.u. The electronic total energy comes out at -52.81 eV/f.u. For the energy relative to the elements, uncorrected, the calculation gives -1.56 eV/atom. As for the crystal system: tetragonal.

The space group is I4/mmm (No. 139) and the conventional cell measures 5.038, 5.038 and 28.198 Å, with angles of 90.00, 90.00 and 90.00 degrees. Symmetry generates all atoms from Sr at (0.000, 0.000, 0.000), Sr at (0.000, 0.000, 0.203), Sr at (0.000, 0.500, 0.095), Sb at (0.000, 0.000, 0.321), Sb at (0.000, 0.000, 0.500) and O at (0.000, 0.000, 0.090).